Record 1
{"formula": "La2AsPPd6", "functional": "PBE", "state": "relaxed", "ef_ev_per_atom": -0.827, "e_tot_ev_per_atom": -5.9336, "magnetic_moment_mub_per_fu": 0.0, "cell": [[5.559, 0.000, 0.000], [0.000, 8.157, 0.000], [0.000, 0.000, 8.856]], "species": ["Pd", "Pd", "Pd", "Pd", "Pd", "La", "Pd", "La", "Pd", "As", "La", "As", "La", "P", "Pd", "Pd", "Pd", "Pd", "P", "Pd"], "frac_coords": [[0.747, 0.477, 0.500], [0.749, 0.998, 0.000], [0.249, 0.002, 0.500], [0.000, 0.878, 0.751], [0.247, 0.523, 0.000], [0.000, 0.266, 0.756], [0.251, 0.998, 0.000], [0.500, 0.734, 0.256], [0.253, 0.477, 0.500], [0.500, 0.272, 0.000], [0.000, 0.266, 0.244], [0.000, 0.728, 0.500], [0.500, 0.734, 0.744], [0.500, 0.243, 0.500], [0.500, 0.122, 0.749], [0.500, 0.122, 0.251], [0.751, 0.002, 0.500], [0.753, 0.523, 0.000], [0.000, 0.757, 0.000], [0.000, 0.878, 0.249]]}

Record 2
{"formula": "Y3AgRu", "functional": "PBE", "state": "relaxed", "ef_ev_per_atom": -0.038, "e_tot_ev_per_atom": -6.3420, "magnetic_moment_mub_per_fu": 0.0, "cell": [[-0.362, -0.679, -5.269], [1.856, -4.964, 0.512], [-4.977, -1.802, 0.574]], "species": ["Y", "Ag", "Y", "Y", "Ru"], "frac_coords": [[0.500, 0.000, 0.000], [0.500, 0.500, 0.500], [0.000, 0.000, 0.500], [0.000, 0.500, 0.000], [0.000, 0.000, 0.000]]}

Record 3
{"formula": "HoCdCo", "functional": "PBE", "state": "relaxed", "ef_ev_per_atom": -0.055, "e_tot_ev_per_atom": -4.2551, "magnetic_moment_mub_per_fu": 0.7, "cell": [[3.346, 0.000, 0.000], [0.000, 3.346, 0.000], [-1.673, -1.673, 5.325]], "species": ["Co", "Ho", "Cd"], "frac_coords": [[0.666, 0.666, 0.332], [0.310, 0.310, 0.620], [0.024, 0.024, 0.048]]}